# 1
{"formula": "PrBiPd", "functional": "PBE-GGA", "state": "optimized geometry", "magnetic_moment_mub_per_fu": 0.00, "e_tot_ev_per_atom": -5.39, "delta_e_f_ev_per_atom": -0.7760, "crystal_system": "tetragonal", "space_group": "P4_2/mmc", "lattice_angstrom": [[-0.4690, -0.7883, -4.7749], [-3.2755, -3.4798, 0.8964], [-5.1766, 4.7996, -0.2839]], "species": ["Pr", "Pr", "Bi", "Bi", "Pd", "Pd"], "fractional_positions": [[0.2724, 0.5985, 0.2364], [0.7725, 0.0986, 0.7365], [0.2725, 0.5987, 0.7364], [0.7723, 0.0986, 0.2365], [0.7724, 0.5986, 0.9864], [0.7724, 0.5986, 0.4864]]}


# 2
{"formula": "Tb4Th3Se8", "functional": "PBE-GGA", "state": "optimized geometry", "magnetic_moment_mub_per_fu": 0.00, "raw_formation_energy_ev_per_atom": -1.727, "e_tot_ev_per_atom": -6.30, "crystal_system": "monoclinic", "space_group": "C2/m", "lattice_angstrom": [[7.2466, -0.1699, -3.9830], [-4.6791, 6.8173, -0.2065], [-0.1778, 0.1372, 8.2681]], "species": ["Tb", "Tb", "Tb", "Tb", "Th", "Th", "Th", "Se", "Se", "Se", "Se", "Se", "Se", "Se", "Se"], "fractional_positions": [[0.5000, 0.0000, 0.0000], [0.0000, 0.5000, 0.0000], [0.0000, 0.0000, 0.0000], [0.0000, 0.0000, 0.5000], [0.5000, 0.5000, 0.0000], [0.5000, 0.0000, 0.5000], [0.5000, 0.5000, 0.5000], [0.5076, 0.2499, 0.2499], [0.0000, 0.7472, 0.2528], [0.9943, 0.2490, 0.2490], [0.5000, 0.7542, 0.2458], [0.5000, 0.2458, 0.7542], [0.0057, 0.7510, 0.7510], [0.0000, 0.2528, 0.7472], [0.4924, 0.7501, 0.7501]]}


Q: Which formula does entry 2 have?
A: Tb4Th3Se8